1.
A geometry-optimized Ac2Pr3Se8 structure, computed with GGA-PBE.

Summary:
Energy relative to the lowest polymorph listed for this composition, eV/f.u.: 0.00
Volume, Å³/f.u.: 459.99
Electronic total energy, eV per atom: -5.64
Total magnetization, Bohr magnetons per cell: 0.000
ΔE_f (raw), eV/atom: -1.761
Symmetry: No. 12

a = 7.3560 Å, b = 8.8250 Å, c = 8.7366 Å
α = 120.34°, β = 107.16°, γ = 90.00°
Element x y z (fractional)
Ac: 0.3455 0.2668 0.5336
Ac: 0.6545 0.7332 0.4664
Pr: 0.5000 0.0000 0.0000
Pr: 0.0000 0.2632 0.0000
Pr: 0.0000 0.7368 0.0000
Se: 0.9436 0.6254 0.2508
Se: 0.0564 0.3746 0.7492
Se: 0.9263 0.1138 0.2277
Se: 0.0737 0.8862 0.7723
Se: 0.5880 0.6491 0.7578
Se: 0.5880 0.1086 0.7578
Se: 0.4120 0.8914 0.2422
Se: 0.4120 0.3509 0.2422

***

2.
A geometry-optimized TbCdSe2 structure, computed with GGA-PBE.

Summary:
Volume, Å³/f.u.: 128.15
Electronic total energy, eV per atom: -4.22
Total magnetization, Bohr magnetons per cell: 0.000
ΔE_f (raw), eV/atom: -1.090
Symmetry: No. 166

a = 4.1506 Å, b = 4.1506 Å, c = 8.9177 Å
α = 76.54°, β = 76.54°, γ = 60.00°
Element x y z (fractional)
Tb: 0.5000 0.5000 0.5000
Se: 0.1050 0.1050 0.6848
Se: 0.8950 0.8950 0.3152
Cd: 0.0000 0.0000 0.0000

***

3.
A geometry-optimized TbSmErTl structure, computed with GGA-PBE.

Summary:
Energy relative to the lowest polymorph listed for this composition, eV/f.u.: 0.00
Volume, Å³/f.u.: 115.88
Energy relative to the elements, eV per atom: -0.183
Electronic total energy, eV per atom: -4.25
Total magnetization, Bohr magnetons per cell: 0.698
Symmetry: No. 47

a = 4.9060 Å, b = 4.8454 Å, c = 4.8746 Å
α = 90.00°, β = 90.00°, γ = 90.00°
Element x y z (fractional)
Tb: 0.0000 0.5000 0.5000
Sm: 0.0000 0.0000 0.0000
Er: 0.5000 0.5000 0.0000
Tl: 0.5000 0.0000 0.5000